Density functional theory data (PBE) for Ac3Tl3CrSe8 after structural relaxation.

Cell: 8.7875 8.7875 22.9275 Å, 90.00 90.00 120.00°
Space group R-3m (No. 166, hexagonal axes)
Asymmetric unit:
1 Ac 0.0000 0.5000 0.0000 [9 per cell]
2 Tl 0.0000 0.5000 0.5000 [9 per cell]
3 Cr 0.0000 0.0000 0.0000 [3 per cell]
4 Se 0.0000 0.0000 0.2579 [6 per cell]
5 Se 0.0490 0.5245 0.7322 [18 per cell]

Results
E_form (uncorrected): -1.1383 eV/atom
Crystal system: trigonal